[1]
The following is a PBE-GGA calculation of crystalline LaAg3 at its relaxed geometry, from Alexandria via LeMat-Bulk.

Structure (extended XYZ):
```
8
Lattice="5.6815 0.0000 0.0000 0.0000 5.6815 0.0000 0.0000 0.0000 5.6815" Properties=species:S:1:pos:R:3 pbc="T T T"
La 0.0000 0.0000 0.0000
La 2.8407 2.8407 2.8407
Ag 0.0000 1.4204 2.8407
Ag 0.0000 4.2611 2.8407
Ag 1.4204 2.8407 0.0000
Ag 2.8407 0.0000 1.4204
Ag 2.8407 0.0000 4.2611
Ag 4.2611 2.8407 0.0000
```

## Properties
- Formation energy from the elements: -0.17 eV/atom
- D(E_F): 0.16 states/eV/atom
- E_tot: -28.3 eV per cell

[2]
The following is a PBE-GGA calculation of crystalline La3Ag4 at its relaxed geometry, from Alexandria via LeMat-Bulk.

Structure (extended XYZ):
```
7
Lattice="6.7103 0.0000 0.0000 -3.3551 5.8113 0.0000 0.0000 0.0000 5.1736" Properties=species:S:1:pos:R:3 pbc="T T T"
La -1.6776 2.9056 0.0000
La 3.3551 0.0000 0.0000
La 1.6776 2.9056 0.0000
Ag 0.0000 0.0000 1.3016
Ag 0.0000 0.0000 3.8720
Ag 0.0000 3.8742 2.5868
Ag 3.3551 1.9371 2.5868
```

## Properties
- Formation energy from the elements: 0.13 eV/atom
- D(E_F): 1.04 states/eV/atom
- E_tot: -25.3 eV per cell